Density functional theory data (PBE with a Hubbard U) for Ca2Fe3SbP6O24 after structural relaxation.

a b c (Å): 8.9012 8.9012 8.9012
angles (deg): 58.24 58.24 58.24
Fractional positions:
Ca: 0.0000 0.0000 0.0000
Ca: 0.4946 0.4946 0.4946
Fe: 0.1473 0.1473 0.1473
Fe: 0.3518 0.3518 0.3518
Fe: 0.8537 0.8537 0.8537
Sb: 0.6462 0.6462 0.6462
P: 0.0426 0.7532 0.4574
P: 0.2489 0.5409 0.9614
P: 0.4574 0.0426 0.7532
P: 0.5409 0.9614 0.2489
P: 0.7532 0.4574 0.0426
P: 0.9614 0.2489 0.5409
O: 0.0017 0.7985 0.6201
O: 0.0638 0.9174 0.2685
O: 0.0886 0.7320 0.9287
O: 0.1176 0.2982 0.5100
O: 0.2117 0.3790 0.9861
O: 0.2230 0.5782 0.4436
O: 0.2685 0.0638 0.9174
O: 0.2982 0.5100 0.1176
O: 0.3790 0.9861 0.2117
O: 0.4270 0.5568 0.7683
O: 0.4436 0.2230 0.5782
O: 0.4810 0.8742 0.7152
O: 0.5100 0.1176 0.2982
O: 0.5568 0.7683 0.4270
O: 0.5782 0.4436 0.2230
O: 0.6201 0.0017 0.7985
O: 0.7152 0.4810 0.8742
O: 0.7320 0.9287 0.0886
O: 0.7683 0.4270 0.5568
O: 0.7985 0.6201 0.0017
O: 0.8742 0.7152 0.4810
O: 0.9174 0.2685 0.0638
O: 0.9287 0.0886 0.7320
O: 0.9861 0.2117 0.3790

As for the crystal system: trigonal. The calculation puts the final energy at -7.079 eV per atom.